The following is a DFT calculation (PBE) of a geometry-optimized SrRhI structure.

Values from the calculation:
space-group type	Amm2 (38)
total moment	0.00	μB per cell
raw formation energy	-582	meV per atom
total DFT energy (no corrections)	-4.110	eV/atom

a = 4.6263 Å, b = 6.2804 Å, c = 6.2788 Å
α = 101.55°, β = 111.60°, γ = 68.37°
Fractional coordinates of all 6 atoms:
I (0.2189, 0.9865, 0.3559)
I (0.7191, 0.4864, 0.8560)
Sr (0.4689, 0.4018, 0.2713)
Sr (0.9689, 0.9016, 0.7711)
Rh (0.2193, 0.3222, 0.6919)
Rh (0.7192, 0.8224, 0.1918)

=====

The following is a DFT calculation (PBE) of a geometry-optimized SrRhI structure.

Values from the calculation:
space-group type	Pnma (62)
total moment	0.00	μB per cell
raw formation energy	-494	meV per atom
total DFT energy (no corrections)	-4.022	eV/atom

a = 10.7048 Å, b = 4.6161 Å, c = 7.0573 Å
α = 90.00°, β = 90.00°, γ = 90.00°
Fractional coordinates of all 12 atoms:
I (0.8418, 0.2500, 0.7863)
I (0.6582, 0.7500, 0.2863)
I (0.1582, 0.7500, 0.2137)
I (0.3418, 0.2500, 0.7137)
Sr (0.9056, 0.2500, 0.3085)
Sr (0.5944, 0.7500, 0.8085)
Sr (0.0944, 0.7500, 0.6915)
Sr (0.4056, 0.2500, 0.1915)
Rh (0.1798, 0.2500, 0.4188)
Rh (0.3202, 0.7500, 0.9188)
Rh (0.8202, 0.7500, 0.5812)
Rh (0.6798, 0.2500, 0.0812)

=====

The following is a DFT calculation (PBE) of a geometry-optimized SrRhI structure.

Values from the calculation:
space-group type	P6_3/mmc (194)
total moment	0.00	μB per cell
raw formation energy	-568	meV per atom
total DFT energy (no corrections)	-4.096	eV/atom

a = 4.5889 Å, b = 4.5889 Å, c = 8.6605 Å
α = 90.00°, β = 90.00°, γ = 120.00°
Fractional coordinates of all 6 atoms:
I (0.3333, 0.6667, 0.2500)
I (0.6667, 0.3333, 0.7500)
Sr (0.0000, 0.0000, 0.0000)
Sr (0.0000, 0.0000, 0.5000)
Rh (0.3333, 0.6667, 0.7500)
Rh (0.6667, 0.3333, 0.2500)

=====

The following is a DFT calculation (PBE) of a geometry-optimized Sr8Rh2I structure.

Values from the calculation:
space-group type	P-1 (2)
total moment	0.00	μB per cell
raw formation energy	-290	meV per atom
total DFT energy (no corrections)	-2.991	eV/atom

a = 5.9038 Å, b = 12.0821 Å, c = 9.4522 Å
α = 129.09°, β = 96.69°, γ = 74.19°
Fractional coordinates of all 11 atoms:
Sr (0.4281, 0.6471, 0.2916)
Sr (0.5719, 0.3529, 0.7084)
Sr (0.8625, 0.6880, 0.0509)
Sr (0.1962, 0.0648, 0.3918)
Sr (0.1747, 0.6300, 0.6508)
Sr (0.1375, 0.3120, 0.9491)
Sr (0.8038, 0.9352, 0.6082)
Sr (0.8253, 0.3700, 0.3492)
Rh (0.0444, 0.3940, 0.6767)
Rh (0.9556, 0.6060, 0.3232)
I (0.0000, 0.0000, 0.0000)

=====

The following is a DFT calculation (PBE) of a geometry-optimized SrRhI structure.

Values from the calculation:
space-group type	Cm (8)
total moment	0.00	μB per cell
raw formation energy	-598	meV per atom
total DFT energy (no corrections)	-4.126	eV/atom

a = 4.8196 Å, b = 6.1955 Å, c = 6.1914 Å
α = 91.32°, β = 85.85°, γ = 94.16°
Fractional coordinates of all 6 atoms:
I (0.0817, 0.9459, 0.8291)
I (0.2664, 0.5334, 0.2422)
Sr (0.6080, 0.0672, 0.2477)
Sr (0.6081, 0.5276, 0.7086)
Rh (0.5969, 0.0496, 0.7262)
Rh (0.1081, 0.2414, 0.5342)

=====

The following is a DFT calculation (PBE) of a geometry-optimized SrRhI structure.

Values from the calculation:
space-group type	P6_3/mmc (194)
total moment	0.00	μB per cell
raw formation energy	21	meV per atom
total DFT energy (no corrections)	-3.507	eV/atom

a = 5.4874 Å, b = 5.4874 Å, c = 9.8450 Å
α = 90.00°, β = 90.00°, γ = 120.00°
Fractional coordinates of all 6 atoms:
I (0.0000, 0.0000, 0.2500)
I (0.0000, 0.0000, 0.7500)
Sr (0.3333, 0.6667, 0.2500)
Sr (0.6667, 0.3333, 0.7500)
Rh (0.0000, 0.0000, 0.0000)
Rh (0.0000, 0.0000, 0.5000)